Compound: Cs2NiRhF6
Source: Alexandria
Functional: PBE+U
Structure: optimized geometry

Cell lengths 6.098, 6.098, 6.098 Å; angles 119.07, 119.07, 91.62 degrees
Fractional coordinates of all 10 atoms:
1 Cs 0.250 0.750 0.500
2 Cs 0.750 0.250 0.500
3 Ni 0.000 0.000 0.000
4 Rh 0.500 0.500 0.000
5 F 0.234 0.234 0.468
6 F 0.234 0.766 0.000
7 F 0.257 0.257 0.000
8 F 0.743 0.743 0.000
9 F 0.766 0.234 0.000
10 F 0.766 0.766 0.532

Total magnetization ... 3.00 Bohr magnetons per cell
E ... -4.34 eV per atom